VASP calculation (GGA-PBE) on crystalline Tl2TeIr at its relaxed geometry.

Unit cell a=5.117 b=5.117 c=5.117 alpha=120.27 beta=120.27 gamma=89.54
Atoms (fractional coordinates):
Ir  0.500  0.500  0.000
Te  0.750  0.250  0.500
Tl  0.000  0.000  0.000
Tl  0.250  0.750  0.500

Calculated values
Formation energy without anion corrections: 503 meV/atom
SG: I-4m2
Calculated total energy: -3.68 eV per atom